(1)
PBE KRbBa2Ge, relaxed; calculated volume = 58.75 Å³ per atom; size of the total moment = 0.77 μB/f.u.; uncorrected energy = -1.512 eV/atom; ΔE_f = 0.59 eV per atom
1.0
7.026 0.000 0.000
0.000 5.950 0.000
0.000 0.000 7.026
K Ge Ba Rb
1 1 2 1
Cartesian
3.513 2.975 3.513
0.000 2.975 0.000
0.000 0.000 3.513
3.513 0.000 0.000
0.000 0.000 0.000

***

(2)
PBE Rb3Sn8Au3, relaxed; E above lowest polymorph = 0.000 eV per atom; calculated volume = 32.80 Å³ per atom; size of the total moment = 0.00 μB/f.u.; uncorrected energy = -3.367 eV/atom; ΔE_f = -0.17 eV per atom
1.0
4.325 0.000 1.141
1.013 8.560 4.927
-0.881 -0.113 12.109
Rb Sn Au
3 8 3
Cartesian
1.396 6.380 12.246
3.061 2.066 5.931
0.000 0.000 0.000
0.182 1.512 8.080
4.275 6.934 10.097
3.155 3.537 14.344
1.302 4.910 3.833
2.650 5.358 7.492
1.807 3.088 10.685
2.445 8.239 8.266
2.012 0.207 9.911
0.066 4.223 8.518
2.852 6.107 15.495
1.605 2.340 2.683

***

(3)
PBE Ca5AlZn4, relaxed; calculated volume = 25.04 Å³ per atom; size of the total moment = 0.00 μB/f.u.; uncorrected energy = -2.115 eV/atom; ΔE_f = -0.23 eV per atom
1.0
-2.265 -1.595 -2.425
-0.827 -2.594 2.478
-13.965 10.386 6.211
Ca Al Zn
5 1 4
Cartesian
-2.967 -1.037 0.659
-5.734 1.021 1.889
-8.528 3.099 3.132
-11.322 5.177 4.374
-14.089 7.235 5.605
0.000 0.000 0.000
-2.780 2.067 1.236
-5.598 4.164 2.490
-8.367 6.222 3.721
-11.185 8.319 4.974

***

(4)
PBE Ba2CeSmSe4, relaxed; calculated volume = 30.89 Å³ per atom; size of the total moment = 1.42 μB/f.u.; uncorrected energy = -5.440 eV/atom; ΔE_f (raw) = -15.085 eV/f.u.
1.0
4.385 0.000 0.000
0.000 7.588 0.131
0.000 -2.656 7.382
Ba Ce Sm Se
2 1 1 4
Cartesian
2.192 -1.328 3.691
0.000 2.466 3.756
2.192 3.794 0.065
0.000 0.000 0.000
2.192 1.221 1.649
2.192 3.711 5.864
0.000 -0.119 5.786
0.000 5.050 1.727